Here is CrGeS2Cl after structural relaxation from the Alexandria database. Energies are from PBE.

Computed properties:
Symmetry ... No. 123
E_tot ... -4.95 eV/atom
Formation energy (no corrections) ... -82 meV per atom
Magnetization ... 0.612 μB/atom
Offset from the most stable computed form ... 0 meV/atom

Geometry as POSCAR:
```
CrGeS2Cl
1.0
4.6933 0.0000 0.0000
0.0000 4.6933 0.0000
0.0000 0.0000 4.5906
S Cl Cr Ge
2 1 1 1
Direct
0.5000 0.0000 0.0000
0.0000 0.5000 0.0000
0.0000 0.0000 0.5000
0.0000 0.0000 0.0000
0.5000 0.5000 0.5000
```